No. 1
Entry from Alexandria via LeMat-Bulk: a relaxed CrPN2F crystal (PBE+U).

The density of states at the Fermi level comes out at 0.83 states/eV/atom. The calculation puts the total energy at -27.0 eV for the cell shown. Its energy above the lowest structure with this stoichiometry is 751 meV per atom.

The space group is P4/mmm (No. 123) and the conventional cell measures 3.783, 3.783 and 3.831 Å, with angles of 90.00, 90.00 and 90.00 degrees. The distinct sites, in fractional coordinates, are Cr at (0.000, 0.000, 0.000), P at (0.500, 0.500, 0.500), N at (0.000, 0.500, 0.000) and F at (0.000, 0.000, 0.500).

---

No. 2
Entry from Alexandria via LeMat-Bulk: a relaxed CrPbN2F crystal (PBE+U).

The density of states at the Fermi level comes out at 0.31 states/eV/atom. The calculation puts the total energy at -30.3 eV for the cell shown. Its energy above the lowest structure with this stoichiometry is 0 meV per atom.

The space group is P4/mmm (No. 123) and the conventional cell measures 4.002, 4.002 and 4.024 Å, with angles of 90.00, 90.00 and 90.00 degrees. The distinct sites, in fractional coordinates, are Cr at (0.000, 0.000, 0.000), Pb at (0.500, 0.500, 0.500), N at (0.000, 0.500, 0.000) and F at (0.000, 0.000, 0.500).